Record 1
Here is an optimized crystal structure of ZnCrGe3 from Alexandria via LeMat-Bulk. Energies are from PBE.

Results
ΔH_f (0 K) = 0.27 eV per atom
offset from the most stable computed form = 0.0 meV/atom
DFT total energy = -4.681 eV/atom
D(E_F) = 0.000 states/eV/atom

abc: 4.6652 4.6652 4.6652
angles: 90.00 90.00 90.00
Last column: nearest neighbours and their distance in Å.
Space group Pm-3m (No. 221)
Asymmetric unit:
Zn  0.0000  0.0000  0.0000 [1 per cell]  12 Ge 3.30
Cr  0.5000  0.5000  0.5000 [1 per cell]  6 Ge 2.33
Ge  0.0000  0.5000  0.5000 [3 per cell]  2 Cr 2.33

***

Record 2
Here is an optimized crystal structure of RbBeTeBr from Alexandria via LeMat-Bulk. Energies are from PBE.

Results
offset from the most stable computed form = 195.2 meV/atom
formation energy from raw total energies = -0.70 eV per atom
DFT total energy = -3.078 eV/atom
D(E_F) = 0.000 states/eV/atom

abc: 5.9526 6.0402 7.8864
angles: 111.48 91.64 118.26
Last column: nearest neighbours and their distance in Å.
Space group P1 (No. 1)
Asymmetric unit:
Rb  0.0000  0.0000  0.0000 [1 per cell]  3 Te 3.64-3.65, 3 Br 3.93-4.03
Be  0.5178  0.0353  0.5498 [1 per cell]  1 Br 2.01, 1 Te 2.17
Te  0.6150  0.2506  0.8539 [1 per cell]  1 Be 2.17
Br  0.4274  0.8379  0.2681 [1 per cell]  1 Be 2.01

***

Record 3
Here is an optimized crystal structure of PuTh2Ir from Alexandria via LeMat-Bulk. Energies are from PBE.

Results
ΔH_f (0 K) = -0.01 eV per atom
offset from the most stable computed form = 276.3 meV/atom
DFT total energy = -9.523 eV/atom
D(E_F) = 3.191 states/eV/atom

abc: 3.8469 3.8469 30.2711
angles: 90.00 90.00 120.00
Last column: nearest neighbours and their distance in Å.
Space group R-3m (No. 166, hexagonal axes)
Asymmetric unit:
Pu  0.0000  0.0000  0.0000 [3 per cell]  2 Th 3.29
Th  0.0000  0.0000  0.1087 [6 per cell]  3 Ir 2.83
Ir  0.0000  0.0000  0.5000 [3 per cell]  6 Th 2.83